The following is a DFT calculation (GGA+U) of crystalline LiVPtO6 at its relaxed geometry.

Calculated values
Space group: No. 163
E_tot in eV/cell: -109.6

a b c (Å): 5.1018 5.1018 9.1493
angles (deg): 90.00 90.00 120.00
Fractional coordinates of all 18 atoms:
Li 0.0000 0.0000 0.0000
Li 0.0000 0.0000 0.5000
V 0.3333 0.6667 0.2500
V 0.6667 0.3333 0.7500
Pt 0.3333 0.6667 0.7500
Pt 0.6667 0.3333 0.2500
O 0.0119 0.3642 0.1368
O 0.0119 0.6477 0.3632
O 0.3523 0.3642 0.3632
O 0.3523 0.9881 0.1368
O 0.3642 0.0119 0.6368
O 0.3642 0.3523 0.8632
O 0.6358 0.6477 0.1368
O 0.6358 0.9881 0.3632
O 0.6477 0.0119 0.8632
O 0.6477 0.6358 0.6368
O 0.9881 0.3523 0.6368
O 0.9881 0.6358 0.8632